Record 1
# CdGe2Pd2 PBE-GGA optimized geometry
# * formation energy: -1.132 eV per formula unit
data_CdGe2Pd2
_cell_length_a 7.573
_cell_length_b 7.573
_cell_length_c 3.097
_cell_angle_alpha 90.00
_cell_angle_beta 90.00
_cell_angle_gamma 90.00
_space_group_name_H-M_alt 'P 4/m b m'
_space_group_IT_number 127
_space_group_name_Hall '-P 4 2ab'
loop_
_atom_site_label
_atom_site_fract_x
_atom_site_fract_y
_atom_site_fract_z
Cd1 0.000 0.000 0.000
Ge1 0.153 0.347 0.500
Pd1 0.140 0.640 0.000



Record 2
# Cd2GePd PBE-GGA optimized geometry
# * formation energy: -0.154 eV per formula unit
data_Cd2GePd
_cell_length_a 4.6199
_cell_length_b 4.6199
_cell_length_c 13.7962
_cell_angle_alpha 90.00
_cell_angle_beta 90.00
_cell_angle_gamma 120.00
_space_group_name_H-M_alt 'R 3 m'
_space_group_IT_number 160
_space_group_name_Hall 'R 3 -2"'
loop_
_atom_site_label
_atom_site_fract_x
_atom_site_fract_y
_atom_site_fract_z
Cd1 0.0000 0.0000 0.0000
Cd2 0.0000 0.0000 0.2104
Ge1 0.0000 0.0000 0.7817
Pd1 0.0000 0.0000 0.6001



Record 3
# Cd5GePd6 PBE-GGA optimized geometry
# * formation energy: -4.806 eV per formula unit
data_Cd5GePd6
_cell_length_a 14.086
_cell_length_b 6.846
_cell_length_c 4.499
_cell_angle_alpha 90.00
_cell_angle_beta 108.10
_cell_angle_gamma 90.00
_space_group_name_H-M_alt 'C 1 2/m 1'
_space_group_IT_number 12
_space_group_name_Hall '-C 2y'
loop_
_atom_site_label
_atom_site_fract_x
_atom_site_fract_y
_atom_site_fract_z
Cd1 0.000 0.000 0.000
Cd2 0.159 0.000 0.660
Cd3 0.186 0.500 0.686
Ge1 0.000 0.500 0.000
Pd1 0.000 0.286 0.500
Pd2 0.154 0.272 0.155



Record 4
# Cd2Ge2Pd3 PBE-GGA optimized geometry
# * formation energy: -2.324 eV per formula unit
data_Cd2Ge2Pd3
_cell_length_a 11.934
_cell_length_b 3.274
_cell_length_c 7.062
_cell_angle_alpha 90.00
_cell_angle_beta 114.06
_cell_angle_gamma 90.00
_space_group_name_H-M_alt 'C 1 2/m 1'
_space_group_IT_number 12
_space_group_name_Hall '-C 2y'
loop_
_atom_site_label
_atom_site_fract_x
_atom_site_fract_y
_atom_site_fract_z
Cd1 0.084 0.000 0.243
Ge1 0.177 0.000 0.705
Pd1 0.000 0.500 0.500
Pd2 0.137 0.500 0.958



Record 5
# CdGe2Pd2 PBE-GGA optimized geometry
# * formation energy: -0.927 eV per formula unit
data_CdGe2Pd2
_cell_length_a 7.712
_cell_length_b 7.712
_cell_length_c 2.968
_cell_angle_alpha 90.00
_cell_angle_beta 90.00
_cell_angle_gamma 90.00
_space_group_name_H-M_alt 'P 4/m b m'
_space_group_IT_number 127
_space_group_name_Hall '-P 4 2ab'
loop_
_atom_site_label
_atom_site_fract_x
_atom_site_fract_y
_atom_site_fract_z
Cd1 0.000 0.000 0.000
Ge1 0.146 0.354 0.000
Pd1 0.145 0.645 0.500



Record 6
# CdGe2Pd7 PBE-GGA optimized geometry
# * formation energy: -0.994 eV per formula unit
# * relative energy among the computed polymorphs: 326 meV/atom
data_CdGe2Pd7
_cell_length_a 7.335
_cell_length_b 12.162
_cell_length_c 4.401
_cell_angle_alpha 90.00
_cell_angle_beta 90.00
_cell_angle_gamma 90.00
_space_group_name_H-M_alt 'C m m m'
_space_group_IT_number 65
_space_group_name_Hall '-C 2 2'
loop_
_atom_site_label
_atom_site_fract_x
_atom_site_fract_y
_atom_site_fract_z
Cd1 0.000 0.000 0.000
Ge1 0.000 0.302 0.500
Pd1 0.000 0.224 0.000
Pd2 0.000 0.500 0.500
Pd3 0.188 0.122 0.500



Record 7
# Cd3GePd PBE-GGA optimized geometry
# * formation energy: 1.529 eV per formula unit
# * relative energy among the computed polymorphs: 0 meV/atom
data_Cd3GePd
_cell_length_a 5.117
_cell_length_b 5.117
_cell_length_c 5.117
_cell_angle_alpha 90.00
_cell_angle_beta 90.00
_cell_angle_gamma 90.00
_space_group_name_H-M_alt 'P m -3 m'
_space_group_IT_number 221
_space_group_name_Hall '-P 4 2 3'
loop_
_atom_site_label
_atom_site_fract_x
_atom_site_fract_y
_atom_site_fract_z
Cd1 0.000 0.000 0.500
Ge1 0.500 0.500 0.500
Pd1 0.000 0.000 0.000



Record 8
# Cd3GePd3 PBE-GGA optimized geometry
# * formation energy: -2.079 eV per formula unit
# * relative energy among the computed polymorphs: 28 meV/atom
data_Cd3GePd3
_cell_length_a 8.9473
_cell_length_b 8.9473
_cell_length_c 5.7225
_cell_angle_alpha 90.00
_cell_angle_beta 90.00
_cell_angle_gamma 120.00
_space_group_name_H-M_alt 'R -3 m'
_space_group_IT_number 166
_space_group_name_Hall '-R 3 2"'
loop_
_atom_site_label
_atom_site_fract_x
_atom_site_fract_y
_atom_site_fract_z
Cd1 0.0000 0.5000 0.0000
Ge1 0.0000 0.0000 0.0000
Pd1 0.0000 0.5000 0.5000



Record 9
# Cd2Ge2Pd PBE-GGA optimized geometry
# * formation energy: -0.206 eV per formula unit
# * relative energy among the computed polymorphs: 0 meV/atom
data_Cd2Ge2Pd
_cell_length_a 6.518
_cell_length_b 6.518
_cell_length_c 4.716
_cell_angle_alpha 90.00
_cell_angle_beta 90.00
_cell_angle_gamma 90.00
_space_group_name_H-M_alt 'P 4/m b m'
_space_group_IT_number 127
_space_group_name_Hall '-P 4 2ab'
loop_
_atom_site_label
_atom_site_fract_x
_atom_site_fract_y
_atom_site_fract_z
Cd1 0.181 0.319 0.000
Ge1 0.139 0.639 0.500
Pd1 0.000 0.000 0.500



Record 10
# Cd3GePd4 PBE-GGA optimized geometry
# * formation energy: -1.964 eV per formula unit
# * relative energy among the computed polymorphs: 119 meV/atom
data_Cd3GePd4
_cell_length_a 5.700
_cell_length_b 9.272
_cell_length_c 5.522
_cell_angle_alpha 90.00
_cell_angle_beta 90.00
_cell_angle_gamma 90.00
_space_group_name_H-M_alt 'I m m 2'
_space_group_IT_number 44
_space_group_name_Hall 'I 2 -2'
loop_
_atom_site_label
_atom_site_fract_x
_atom_site_fract_y
_atom_site_fract_z
Cd1 0.000 0.000 0.000
Cd2 0.000 0.283 0.758
Ge1 0.000 0.500 0.364
Pd1 0.000 0.245 0.267
Pd2 0.237 0.000 0.509



Record 11
# Cd3GePd3 PBE-GGA optimized geometry
# * formation energy: -2.277 eV per formula unit
# * relative energy among the computed polymorphs: 0 meV/atom
data_Cd3GePd3
_cell_length_a 8.614
_cell_length_b 9.273
_cell_length_c 6.444
_cell_angle_alpha 90.00
_cell_angle_beta 90.00
_cell_angle_gamma 90.00
_space_group_name_H-M_alt 'C m m m'
_space_group_IT_number 65
_space_group_name_Hall '-C 2 2'
loop_
_atom_site_label
_atom_site_fract_x
_atom_site_fract_y
_atom_site_fract_z
Cd1 0.000 0.247 0.000
Cd2 0.190 0.000 0.500
Cd3 0.235 0.000 0.000
Ge1 0.000 0.272 0.500
Pd1 0.000 0.500 0.274
Pd2 0.250 0.250 0.271



Record 12
# Cd2GePd PBE-GGA optimized geometry
# * formation energy: 0.647 eV per formula unit
data_Cd2GePd
_cell_length_a 2.9206
_cell_length_b 2.9206
_cell_length_c 32.7992
_cell_angle_alpha 90.00
_cell_angle_beta 90.00
_cell_angle_gamma 120.00
_space_group_name_H-M_alt 'R -3 m'
_space_group_IT_number 166
_space_group_name_Hall '-R 3 2"'
loop_
_atom_site_label
_atom_site_fract_x
_atom_site_fract_y
_atom_site_fract_z
Cd1 0.0000 0.0000 0.0830
Ge1 0.0000 0.0000 0.5000
Pd1 0.0000 0.0000 0.0000



no.,total magnetization (μB per formula unit)
1,0.000
2,0.000
3,0.000
4,0.000
5,0.000
6,0.000
7,0.000
8,0.000
9,0.000
10,0.000
11,0.000
12,0.000